1.
# PRh

A geometry-optimized PRh structure (PBE, Alexandria).

Cell: 4.4350 4.4350 4.4148 Å, 75.92 75.92 42.17°
Element x y z (fractional)
P 0.1170 0.1170 0.7231
P 0.8830 0.8830 0.2769
Rh 0.6084 0.6084 0.1844
Rh 0.3916 0.3916 0.8156

Results
As for the calculated volume: 14.07 Å³/atom. The space-group type is C2/m. Its energy relative to the elements is -0.358 eV per atom. The total magnetization is 0.00 μB per formula unit. The calculation puts the total energy at -26.95 eV/cell.

2.
# SmScAgRu

A geometry-optimized SmScAgRu structure (PBE, Alexandria).

Cell: 4.8843 4.8843 4.8843 Å, 60.00 60.00 60.00°
Element x y z (fractional)
Sc 0.5000 0.5000 0.5000
Ru 0.7500 0.7500 0.7500
Ag 0.2500 0.2500 0.2500
Sm 0.0000 0.0000 0.0000

Results
As for the calculated volume: 20.60 Å³/atom. The space-group type is F-43m. For the distance to the lowest polymorph of the same formula, the calculation gives 0.40 eV/f.u. Its energy relative to the elements is -0.287 eV per atom. The total magnetization is 0.00 μB per formula unit. The calculation puts the total energy at -24.33 eV/cell.

3.
# Ac2LaAg

A geometry-optimized Ac2LaAg structure (PBE, Alexandria).

Cell: 3.9894 3.9894 11.2514 Å, 79.79 79.79 60.00°
Element x y z (fractional)
Ac 0.0720 0.0720 0.7839
Ac 0.2615 0.2615 0.2154
La 0.4992 0.4992 0.5025
Ag 0.6673 0.6673 0.9982

Results
As for the calculated volume: 37.95 Å³/atom. The space-group type is R3m. For the distance to the lowest polymorph of the same formula, the calculation gives 0.44 eV/f.u. Its energy relative to the elements is 0.006 eV per atom. The total magnetization is 0.00 μB per formula unit. The calculation puts the total energy at -15.97 eV/cell.

4.
# SrTc3N

A geometry-optimized SrTc3N structure (PBE, Alexandria).

Cell: 5.3321 5.3321 5.3321 Å, 90.00 90.00 90.00°
Element x y z (fractional)
Sr 0.0000 0.0000 0.0000
Tc 0.0000 0.5000 0.0000
Tc 0.0000 0.0000 0.5000
Tc 0.5000 0.0000 0.0000
N 0.5000 0.5000 0.5000

Results
As for the calculated volume: 30.32 Å³/atom. The space-group type is Pm-3m. The uncorrected formation energy is 20.33 eV per formula unit. For the distance to the lowest polymorph of the same formula, the calculation gives 17.69 eV/f.u. The total magnetization is 8.11 μB per formula unit. The calculation puts the total energy at -20.78 eV/cell.

5.
# Mn2HN

A geometry-optimized Mn2HN structure (PBE, Alexandria).

Cell: 4.1831 4.1831 5.0727 Å, 65.65 65.65 90.00°
Element x y z (fractional)
H 0.5000 0.5000 0.0000
H 0.2500 0.7500 0.5000
Mn 0.6161 0.1250 0.2500
Mn 0.1339 0.6250 0.2500
Mn 0.3750 0.3839 0.7500
Mn 0.8750 0.8661 0.7500
N 0.0000 0.0000 0.0000
N 0.7500 0.2500 0.5000

Results
As for the calculated volume: 9.01 Å³/atom. The space-group type is I-42d. For the distance to the lowest polymorph of the same formula, the calculation gives 0.38 eV/f.u. The total magnetization is 3.78 μB per formula unit. The calculation puts the total energy at -60.55 eV/cell.

6.
# TaGeO4

A geometry-optimized TaGeO4 structure (PBE, Alexandria).

Cell: 5.0102 5.0102 9.3731 Å, 90.00 90.00 90.00°
Element x y z (fractional)
Ta 0.0000 0.0000 0.0000
Ta 0.0000 0.0000 0.5000
Ge 0.0000 0.5000 0.2500
Ge 0.5000 0.0000 0.7500
O 0.2602 0.1619 0.8842
O 0.7398 0.8381 0.8842
O 0.1619 0.2602 0.3842
O 0.2602 0.8381 0.6158
O 0.7398 0.1619 0.6158
O 0.1619 0.7398 0.1158
O 0.8381 0.2602 0.1158
O 0.8381 0.7398 0.3842

Results
As for the calculated volume: 19.61 Å³/atom. The space-group type is P-42c. The uncorrected formation energy is -11.37 eV per formula unit. The total magnetization is 0.00 μB per formula unit. The calculation puts the total energy at -95.35 eV/cell.

7.
# YNbBiSb2

A geometry-optimized YNbBiSb2 structure (PBE, Alexandria).

Cell: 5.3064 5.5982 5.3064 Å, 90.00 90.00 90.00°
Element x y z (fractional)
Y 0.0000 0.5000 0.0000
Sb 0.0000 0.0000 0.5000
Sb 0.5000 0.0000 0.0000
Nb 0.0000 0.0000 0.0000
Bi 0.5000 0.5000 0.5000

Results
As for the calculated volume: 31.53 Å³/atom. The space-group type is P4/mmm. The uncorrected formation energy is 1.29 eV per formula unit. The total magnetization is 0.00 μB per formula unit. The calculation puts the total energy at -27.37 eV/cell.

8.
# K2Na3WS6

A geometry-optimized K2Na3WS6 structure (PBE, Alexandria).

Cell: 7.5862 7.5862 6.1317 Å, 104.16 104.16 117.04°
Element x y z (fractional)
K 0.3403 0.6597 0.0000
K 0.6597 0.3403 0.0000
Na 0.2029 0.7971 0.5000
Na 0.7971 0.2029 0.5000
Na 0.5000 0.5000 0.5000
W 0.0000 0.0000 0.0000
S 0.9129 0.6409 0.7643
S 0.8840 0.8840 0.3064
S 0.0871 0.3591 0.2357
S 0.6409 0.9129 0.7643
S 0.1160 0.1160 0.6936
S 0.3591 0.0871 0.2357

Results
As for the calculated volume: 23.14 Å³/atom. The space-group type is C2/m. The uncorrected formation energy is -9.48 eV per formula unit. The total magnetization is 0.00 μB per formula unit. The calculation puts the total energy at -53.35 eV/cell.

9.
# Zn2SbTe

A geometry-optimized Zn2SbTe structure (PBE, Alexandria).

Cell: 4.0163 3.0873 7.9959 Å, 98.10 90.00 90.00°
Element x y z (fractional)
Sb 0.5000 0.2500 0.2500
Te 0.5000 0.7500 0.7500
Zn 0.0000 0.9827 0.0045
Zn 0.0000 0.5173 0.4955

Results
As for the calculated volume: 24.54 Å³/atom. The space-group type is P2/m. The uncorrected formation energy is 0.29 eV per formula unit. The total magnetization is 0.00 μB per formula unit. The calculation puts the total energy at -9.53 eV/cell.

10.
# LiTbEuAg

A geometry-optimized LiTbEuAg structure (PBE, Alexandria).

Cell: 5.3028 5.3028 5.3028 Å, 60.00 60.00 60.00°
Element x y z (fractional)
Eu 0.0000 0.0000 0.0000
Tb 0.5000 0.5000 0.5000
Ag 0.2500 0.2500 0.2500
Li 0.7500 0.7500 0.7500

Results
As for the calculated volume: 26.36 Å³/atom. The space-group type is F-43m. Its energy relative to the elements is -0.069 eV per atom. The total magnetization is 7.20 μB per formula unit. The calculation puts the total energy at -19.95 eV/cell.